1.
# Ce3TePCl PBE-GGA optimized geometry
data_Ce3TePCl
_chemical_formula_sum 'Ce6 Te2 P2 Cl2'
_symmetry_space_group_name_H-M 'P 1 21/m 1'
_symmetry_Int_Tables_number 11
_cell_length_a 8.757
_cell_length_b 4.173
_cell_length_c 9.708
_cell_angle_alpha 90.00
_cell_angle_beta 96.15
_cell_angle_gamma 90.00
loop_
_symmetry_equiv_pos_as_xyz
'x,y,z'
'-x,-y,-z'
'-x,y+1/2,-z'
'x,-y+1/2,z'
loop_
_atom_site_label
_atom_site_fract_x
_atom_site_fract_y
_atom_site_fract_z
Ce1 0.089 0.250 0.354
Ce2 0.161 0.250 0.940
Ce3 0.364 0.750 0.639
Te1 0.355 0.750 0.306
P1 0.139 0.250 0.648
Cl1 0.372 0.750 0.930
# calculated total energy = -6.01 eV/atom
# uncorrected formation energy = -1.3145 eV/atom

2.
# Ce2PaCl PBE-GGA optimized geometry
data_Ce2PaCl
_chemical_formula_sum 'Ce6 Pa3 Cl3'
_symmetry_space_group_name_H-M 'R -3 m'
_symmetry_Int_Tables_number 166
_symmetry_space_group_name_Hall '-R 3 2"'
_cell_length_a 3.8782
_cell_length_b 3.8782
_cell_length_c 22.8210
_cell_angle_alpha 90.00
_cell_angle_beta 90.00
_cell_angle_gamma 120.00
loop_
_atom_site_label
_atom_site_fract_x
_atom_site_fract_y
_atom_site_fract_z
Ce1 0.0000 0.0000 0.2373
Pa1 0.0000 0.0000 0.5000
Cl1 0.0000 0.0000 0.0000
# calculated total energy = -6.10 eV/atom
# uncorrected formation energy = -0.2964 eV/atom

- Which value of calculated total energy does entry 2 give?
  -6.10 eV/atom